Below is a geometry-optimized GeBiSe2 structure, with properties calculated at the GGA-PBE level.

a = 3.9035 Å, b = 3.9324 Å, c = 7.8742 Å
α = 103.99°, β = 90.00°, γ = 119.77°
Closest atoms and distances in Å follow each position.
Fractional coordinates of all 4 atoms:
Bi: 0.5842 0.9260 0.5525  6 Se 3.07-3.10
Se: 0.3437 0.4430 0.8288  3 Ge 2.82-2.83, 3 Bi 3.07-3.09
Se: 0.8243 0.4043 0.2753  3 Ge 2.82-2.83, 3 Bi 3.07-3.10
Ge: 0.0844 0.9256 0.0525  6 Se 2.82-2.83

Properties
total energy = -4.0364 eV/atom
uncorrected formation energy = -170 meV per atom
symmetry = Cm